Record 1
Here is crystalline Pm8Pr6Sc at its relaxed geometry from Alexandria. Energies are from PBE.

a = 9.9742 Å, b = 9.9742 Å, c = 18.0168 Å
α = 90.00°, β = 90.00°, γ = 120.00°
Space group R-3 (No. 148, hexagonal axes)
Inequivalent atoms, fractional coordinates:
Pm  0.0000  0.0000  0.0864
Pm  0.0584  0.2401  0.6698
Pr  0.0412  0.4196  0.8413
Sc  0.0000  0.0000  0.5000

DFT formation energy: 237 kJ/mol of formula units
distance to the lowest polymorph of the same formula: 56 meV per atom
M_tot: 0.00 μB/f.u.

Record 2
Here is crystalline ReOs2Rh at its relaxed geometry from Alexandria. Energies are from PBE.

a = 3.8729 Å, b = 3.8729 Å, c = 7.6909 Å
α = 90.00°, β = 90.00°, γ = 90.00°
Space group I-4m2 (No. 119)
Inequivalent atoms, fractional coordinates:
Re  0.0000  0.0000  0.0000
Os  0.0000  0.0000  0.5000
Os  0.0000  0.5000  0.7500
Rh  0.0000  0.5000  0.2500

DFT formation energy: 19 kJ/mol of formula units
distance to the lowest polymorph of the same formula: 10 meV per atom
M_tot: 0.00 μB/f.u.

Record 3
Here is crystalline Y3ScRe at its relaxed geometry from Alexandria. Energies are from PBE.

a = 5.4079 Å, b = 5.4079 Å, c = 5.4079 Å
α = 90.00°, β = 90.00°, γ = 90.00°
Space group Pm-3m (No. 221)
Inequivalent atoms, fractional coordinates:
Y  0.0000  0.0000  0.5000
Sc  0.5000  0.5000  0.5000
Re  0.0000  0.0000  0.0000

DFT formation energy: 183 kJ/mol of formula units
distance to the lowest polymorph of the same formula: 0 meV per atom
M_tot: 0.00 μB/f.u.

Record 4
Here is crystalline TbYOsAu at its relaxed geometry from Alexandria. Energies are from PBE.

a = 7.0149 Å, b = 7.0149 Å, c = 7.0149 Å
α = 90.00°, β = 90.00°, γ = 90.00°
Space group F-43m (No. 216)
Inequivalent atoms, fractional coordinates:
Tb  0.0000  0.0000  0.0000
Y  0.0000  0.0000  0.5000
Os  0.2500  0.2500  0.2500
Au  0.2500  0.2500  0.7500

DFT formation energy: -177 kJ/mol of formula units
M_tot: 0.00 μB/f.u.

Record 5
Here is crystalline Zr2PC at its relaxed geometry from Alexandria. Energies are from PBE.

a = 3.4565 Å, b = 3.4565 Å, c = 18.8609 Å
α = 90.00°, β = 90.00°, γ = 120.00°
Space group R3m (No. 160, hexagonal axes)
Inequivalent atoms, fractional coordinates:
Zr  0.0000  0.0000  0.0000
Zr  0.0000  0.0000  0.1537
P  0.0000  0.0000  0.5768
C  0.0000  0.0000  0.7465

DFT formation energy: -253 kJ/mol of formula units
M_tot: 0.00 μB/f.u.

Record 6
Here is crystalline FePC2 at its relaxed geometry from Alexandria. Energies are from PBE.

a = 7.4304 Å, b = 2.7416 Å, c = 5.2784 Å
α = 90.00°, β = 120.84°, γ = 90.00°
Space group Cm (No. 8)
Inequivalent atoms, fractional coordinates:
Fe  0.0000  0.0000  0.0000
P  0.1980  0.0000  0.8004
C  0.1237  0.5000  0.2846
C  0.1965  0.5000  0.5852

DFT formation energy: 197 kJ/mol of formula units
M_tot: 0.00 μB/f.u.

Record 7
Here is crystalline TbTe at its relaxed geometry from Alexandria. Energies are from PBE.

a = 4.1136 Å, b = 4.1136 Å, c = 4.0695 Å
α = 90.00°, β = 90.00°, γ = 120.00°
Space group P-6m2 (No. 187)
Inequivalent atoms, fractional coordinates:
Tb  0.0000  0.0000  0.0000
Te  0.6667  0.3333  0.5000

M_tot: 0.74 μB/f.u.
ΔE_f (raw): -2.62 eV/f.u.

Record 8
Here is crystalline Ho15Er4Tm at its relaxed geometry from Alexandria. Energies are from PBE.

a = 4.9648 Å, b = 4.9648 Å, c = 24.8156 Å
α = 90.00°, β = 90.00°, γ = 90.00°
Space group P4/mmm (No. 123)
Inequivalent atoms, fractional coordinates:
Ho  0.0000  0.0000  0.0000
Ho  0.0000  0.0000  0.1998
Ho  0.0000  0.0000  0.4000
Ho  0.0000  0.5000  0.0998
Ho  0.0000  0.5000  0.2999
Ho  0.0000  0.5000  0.5000
Er  0.5000  0.5000  0.1998
Er  0.5000  0.5000  0.4000
Tm  0.5000  0.5000  0.0000

DFT formation energy: 40 kJ/mol of formula units
M_tot: 0.00 μB/f.u.

Record 9
Here is crystalline Pr6Ni2PtBr3 at its relaxed geometry from Alexandria. Energies are from PBE.

a = 7.2215 Å, b = 12.5263 Å, c = 8.1522 Å
α = 90.00°, β = 107.15°, γ = 90.00°
Space group C2/m (No. 12)
Inequivalent atoms, fractional coordinates:
Pr  0.2215  0.0000  0.1943
Pr  0.2364  0.3285  0.1946
Ni  0.0000  0.1666  0.0000
Pt  0.0000  0.5000  0.0000
Br  0.0000  0.0000  0.5000
Br  0.0000  0.3315  0.5000

M_tot: 0.00 μB/f.u.
ΔE_f (raw): -11.30 eV/f.u.

Record 10
Here is crystalline K2Zn3Au2 at its relaxed geometry from Alexandria. Energies are from PBE.

a = 12.4335 Å, b = 4.4530 Å, c = 7.8844 Å
α = 90.00°, β = 123.73°, γ = 90.00°
Space group C2/m (No. 12)
Inequivalent atoms, fractional coordinates:
K  0.1369  0.0000  0.2645
Zn  0.0000  0.5000  0.5000
Zn  0.1742  0.5000  0.9188
Au  0.1208  0.0000  0.7027

DFT formation energy: -157 kJ/mol of formula units
M_tot: 0.00 μB/f.u.

Record 11
Here is crystalline MnPbS2 at its relaxed geometry from Alexandria. Energies are from PBE.

a = 4.4169 Å, b = 4.4169 Å, c = 22.4132 Å
α = 90.00°, β = 90.00°, γ = 120.00°
Space group R-3m (No. 166, hexagonal axes)
Inequivalent atoms, fractional coordinates:
Mn  0.0000  0.0000  0.0000
Pb  0.0000  0.0000  0.5000
S  0.0000  0.0000  0.0986

M_tot: 4.97 μB/f.u.
ΔE_f (raw): -0.74 eV/f.u.

Record 12
Here is crystalline LaPr8Hg2 at its relaxed geometry from Alexandria. Energies are from PBE.

a = 15.8988 Å, b = 7.0440 Å, c = 6.8196 Å
α = 90.00°, β = 100.73°, γ = 90.00°
Space group C2/m (No. 12)
Inequivalent atoms, fractional coordinates:
La  0.0000  0.0000  0.0000
Pr  0.0873  0.5000  0.9101
Pr  0.1024  0.2653  0.4159
Pr  0.2074  0.0000  0.8258
Hg  0.2449  0.0000  0.2984

DFT formation energy: -69 kJ/mol of formula units
M_tot: 0.00 μB/f.u.

Record 13
Here is crystalline In2PbI8 at its relaxed geometry from Alexandria. Energies are from PBE.

a = 13.2269 Å, b = 12.2347 Å, c = 7.3839 Å
α = 90.00°, β = 94.05°, γ = 90.00°
Space group C2/m (No. 12)
Inequivalent atoms, fractional coordinates:
In  0.2185  0.0000  0.1297
Pb  0.0000  0.0000  0.5000
I  0.0856  0.5000  0.7368
I  0.1088  0.1788  0.2480
I  0.2170  0.0000  0.7519

M_tot: 0.00 μB/f.u.
ΔE_f (raw): -5.90 eV/f.u.

Record 14
Here is crystalline Mg3CdNi at its relaxed geometry from Alexandria. Energies are from PBE.

a = 4.8419 Å, b = 4.8419 Å, c = 4.8419 Å
α = 90.00°, β = 90.00°, γ = 90.00°
Space group Pm-3m (No. 221)
Inequivalent atoms, fractional coordinates:
Mg  0.0000  0.0000  0.5000
Cd  0.5000  0.5000  0.5000
Ni  0.0000  0.0000  0.0000

DFT formation energy: 38 kJ/mol of formula units
distance to the lowest polymorph of the same formula: 158 meV per atom
M_tot: 0.00 μB/f.u.

Record 15
Here is crystalline Ca5Bi2AsCl at its relaxed geometry from Alexandria. Energies are from PBE.

a = 4.5503 Å, b = 18.5294 Å, c = 13.3345 Å
α = 90.00°, β = 90.00°, γ = 90.00°
Space group Cmc2_1 (No. 36)
Inequivalent atoms, fractional coordinates:
Ca  0.0000  0.0051  0.0000
Ca  0.0000  0.1380  0.2272
Ca  0.0000  0.1927  0.5868
Ca  0.0000  0.2194  0.8772
Ca  0.0000  0.4386  0.2952
Bi  0.0000  0.3682  0.5233
Bi  0.0000  0.3944  0.9144
As  0.0000  0.2931  0.2281
Cl  0.0000  0.0224  0.7000

M_tot: 0.00 μB/f.u.
ΔE_f (raw): -10.49 eV/f.u.

Record 16
Here is crystalline Na4Ti3MnS8 at its relaxed geometry from Alexandria. Energies are from PBE.

a = 7.2168 Å, b = 7.2168 Å, c = 19.8870 Å
α = 90.00°, β = 90.00°, γ = 120.00°
Space group R-3m (No. 166, hexagonal axes)
Inequivalent atoms, fractional coordinates:
Na  0.0000  0.0000  0.0000
Na  0.0000  0.5000  0.0000
Ti  0.0000  0.5000  0.5000
Mn  0.0000  0.0000  0.5000
S  0.0000  0.0000  0.2372
S  0.0045  0.5023  0.7638

M_tot: 6.59 μB/f.u.
ΔE_f (raw): -19.63 eV/f.u.

Record 17
Here is crystalline NdErCd4 at its relaxed geometry from Alexandria. Energies are from PBE.

a = 3.4173 Å, b = 5.0354 Å, c = 8.7166 Å
α = 90.00°, β = 90.00°, γ = 90.00°
Space group Pmmm (No. 47)
Inequivalent atoms, fractional coordinates:
Nd  0.0000  0.0000  0.0000
Er  0.0000  0.5000  0.5000
Cd  0.5000  0.0000  0.3374
Cd  0.5000  0.5000  0.1721

DFT formation energy: -185 kJ/mol of formula units
distance to the lowest polymorph of the same formula: 0 meV per atom
M_tot: 0.00 μB/f.u.

Record 18
Here is crystalline SmDyMgCd at its relaxed geometry from Alexandria. Energies are from PBE.

a = 3.8534 Å, b = 5.2998 Å, c = 5.3404 Å
α = 90.00°, β = 90.00°, γ = 90.00°
Space group Pmmm (No. 47)
Inequivalent atoms, fractional coordinates:
Sm  0.0000  0.0000  0.0000
Dy  0.0000  0.5000  0.5000
Mg  0.5000  0.5000  0.0000
Cd  0.5000  0.0000  0.5000

DFT formation energy: -78 kJ/mol of formula units
M_tot: 0.00 μB/f.u.

Record 19
Here is crystalline SrZnIO2 at its relaxed geometry from Alexandria. Energies are from PBE.

a = 4.3626 Å, b = 4.3626 Å, c = 5.3583 Å
α = 90.00°, β = 90.00°, γ = 90.00°
Space group P4/mmm (No. 123)
Inequivalent atoms, fractional coordinates:
Sr  0.0000  0.0000  0.0000
Zn  0.5000  0.5000  0.5000
I  0.5000  0.5000  0.0000
O  0.0000  0.5000  0.5000

distance to the lowest polymorph of the same formula: 0 meV per atom
M_tot: 1.00 μB/f.u.
ΔE_f (raw): -4.16 eV/f.u.

Record 20
Here is crystalline SrPuHg3 at its relaxed geometry from Alexandria. Energies are from PBE.

a = 3.6631 Å, b = 30.2746 Å, c = 5.0374 Å
α = 90.00°, β = 90.00°, γ = 90.00°
Space group Cmcm (No. 63)
Inequivalent atoms, fractional coordinates:
Sr  0.0000  0.0753  0.2500
Pu  0.0000  0.2149  0.7500
Hg  0.0000  0.3209  0.7500
Hg  0.0000  0.3761  0.2500
Hg  0.0000  0.4750  0.2500

DFT formation energy: -144 kJ/mol of formula units
M_tot: 6.01 μB/f.u.

Record 21
Here is crystalline NaTl2NiAg at its relaxed geometry from Alexandria. Energies are from PBE.

a = 5.0212 Å, b = 5.0212 Å, c = 5.1574 Å
α = 90.00°, β = 90.00°, γ = 90.00°
Space group P4/mmm (No. 123)
Inequivalent atoms, fractional coordinates:
Na  0.0000  0.0000  0.0000
Tl  0.0000  0.5000  0.5000
Ni  0.5000  0.5000  0.5000
Ag  0.5000  0.5000  0.0000

DFT formation energy: 58 kJ/mol of formula units
M_tot: 0.00 μB/f.u.

Record 22
Here is crystalline Er2PbN at its relaxed geometry from Alexandria. Energies are from PBE.

a = 3.5247 Å, b = 3.5247 Å, c = 23.1851 Å
α = 90.00°, β = 90.00°, γ = 120.00°
Space group R-3m (No. 166, hexagonal axes)
Inequivalent atoms, fractional coordinates:
Er  0.0000  0.0000  0.2221
Pb  0.0000  0.0000  0.0000
N  0.0000  0.0000  0.5000

M_tot: 0.00 μB/f.u.
ΔE_f (raw): -4.44 eV/f.u.

Record 23
Here is crystalline KSiPt at its relaxed geometry from Alexandria. Energies are from PBE.

a = 6.7932 Å, b = 6.7932 Å, c = 6.7932 Å
α = 90.00°, β = 90.00°, γ = 90.00°
Space group F-43m (No. 216)
Inequivalent atoms, fractional coordinates:
K  0.0000  0.0000  0.0000
Si  0.2500  0.2500  0.2500
Pt  0.2500  0.2500  0.7500

distance to the lowest polymorph of the same formula: 1750 meV per atom
M_tot: 0.00 μB/f.u.
ΔE_f (raw): 3.88 eV/f.u.

Record 24
Here is crystalline Ag3Hg4 at its relaxed geometry from Alexandria. Energies are from PBE.

a = 3.6527 Å, b = 3.6527 Å, c = 22.2158 Å
α = 90.00°, β = 90.00°, γ = 90.00°
Space group I4/mmm (No. 139)
Inequivalent atoms, fractional coordinates:
Ag  0.0000  0.0000  0.0000
Ag  0.0000  0.0000  0.2822
Hg  0.0000  0.0000  0.1493
Hg  0.0000  0.0000  0.4294

DFT formation energy: 66 kJ/mol of formula units
M_tot: 0.00 μB/f.u.